Density functional theory data (PBE-GGA) for TbGd2Al after structural relaxation.

Unit cell a=3.517 b=3.517 c=9.158 alpha=90.00 beta=90.00 gamma=90.00
Fractional positions:
Gd (0.000, 0.000, 0.785)
Gd (0.000, 0.000, 0.215)
Tb (0.500, 0.500, 0.500)
Al (0.500, 0.500, 0.000)

Values from the calculation:
As for the space group: P4/mmm (123).

=====

Density functional theory data (PBE-GGA) for Pr2DyErSc after structural relaxation.

Unit cell a=6.493 b=6.489 c=8.557 alpha=112.28 beta=90.00 gamma=90.00
Fractional positions:
Er (0.250, 0.250, 0.500)
Er (0.750, 0.750, 0.500)
Dy (0.750, 0.338, 0.677)
Dy (0.250, 0.662, 0.323)
Pr (0.000, 0.249, 0.000)
Pr (0.500, 0.751, 0.000)
Pr (0.000, 0.751, 0.000)
Pr (0.500, 0.249, 0.000)
Sc (0.250, 0.845, 0.690)
Sc (0.750, 0.155, 0.310)

Values from the calculation:
As for the space group: Cmcm (63).

=====

Number 1: total magnetic moment 14.41 μB/cell, DFT formation energy -0.173 eV per atom, calculated volume 113 Å³/f.u.. Number 2: total magnetic moment 0.00 μB/cell, DFT formation energy 0.394 eV per atom, calculated volume 167 Å³/f.u..